## GaPRh (PBE)

Data for a relaxed structure of GaPRh.

Calculated values
DFT formation energy: -0.43 eV per atom
Energy relative to the lowest polymorph listed for this composition: 39 meV/atom
D(E_F): 1.16 states/eV/f.u.
SG: Cm (8)
DFT total energy: -17.1 eV per formula unit

Lattice parameters (Å, degrees): 4.6395 4.6395 7.3610 118.14 118.14 42.71
Last column: nearest neighbours and their distance in Å.
Atoms (fractional coordinates):
Ga: 0.0000 0.0000 0.0000  5 Rh 2.50-2.78, 1 P 2.77
Ga: 0.5345 0.5345 0.6619  1 P 2.35, 3 Rh 2.56-2.58
P: 0.2345 0.2345 0.5821  1 Ga 2.35, 3 Rh 2.38-2.47
P: 0.8066 0.8066 0.2056  5 Rh 2.50-2.67, 1 Ga 2.77
Rh: 0.2536 0.2536 0.9289  3 P 2.47-2.50, 5 Ga 2.50-2.56
Rh: 0.5658 0.5658 0.3311  4 P 2.38-2.57, 1 Ga 2.58

=====

## WS2Cl (PBE)

Data for a relaxed structure of WS2Cl.

Calculated values
Energy relative to the lowest polymorph listed for this composition: 221 meV/atom
ΔE_f (raw): -0.005 eV/atom
D(E_F): 0.89 states/eV/f.u.
SG: I-42d (122)
DFT total energy: -23.1 eV per formula unit

Lattice parameters (Å, degrees): 6.6573 6.6573 6.6573 121.15 121.15 88.03
Last column: nearest neighbours and their distance in Å.
Atoms (fractional coordinates):
W: 0.0000 0.0000 0.0000  4 S 2.24
W: 0.7500 0.2500 0.5000  4 S 2.24
S: 0.0223 0.6250 0.8973  2 W 2.24
S: 0.3750 0.2723 0.3973  2 W 2.24
S: 0.7277 0.1250 0.1027  2 W 2.24
S: 0.8750 0.9777 0.6027  2 W 2.24
Cl: 0.2500 0.7500 0.5000  4 S 3.07
Cl: 0.5000 0.5000 0.0000  4 S 3.07

=====

## FeAuCl2 (PBE)

Data for a relaxed structure of FeAuCl2.

Calculated values
Energy relative to the lowest polymorph listed for this composition: 483 meV/atom
ΔE_f (raw): 0.259 eV/atom
D(E_F): 2.47 states/eV/f.u.
SG: C2/m (12)
DFT total energy: -14.4 eV per formula unit

Lattice parameters (Å, degrees): 5.2158 5.2158 3.4676 107.49 107.49 103.29
Last column: nearest neighbours and their distance in Å.
Atoms (fractional coordinates):
Fe: 0.0000 0.0000 0.0000  4 Cl 2.61
Au: 0.5000 0.5000 0.0000  4 Cl 2.61
Cl: 0.0000 0.5000 0.0000  2 Fe 2.61, 2 Au 2.61
Cl: 0.5000 0.0000 0.0000  2 Fe 2.61, 2 Au 2.61

=====

## CaAgOs2 (PBE)

Data for a relaxed structure of CaAgOs2.

Calculated values
DFT formation energy: 0.61 eV per atom
Energy relative to the lowest polymorph listed for this composition: 286 meV/atom
D(E_F): 6.79 states/eV/f.u.
SG: R3m (160)
DFT total energy: -24.9 eV per formula unit

Lattice parameters (Å, degrees): 9.7745 9.7745 9.7745 17.00 17.00 17.00
Last column: nearest neighbours and their distance in Å.
Atoms (fractional coordinates):
Ca: 0.0000 0.0000 0.0000  6 Ca 2.89, 3 Os 3.04, 3 Ag 3.14
Ag: 0.7587 0.7587 0.7587  6 Ag 2.89, 3 Os 2.94, 3 Ca 3.14
Os: 0.2455 0.2455 0.2455  9 Os 2.61-2.89
Os: 0.5092 0.5092 0.5092  9 Os 2.61-2.89

=====

## B5C7 (PBE)

Data for a relaxed structure of B5C7.

Calculated values
DFT formation energy: 0.36 eV per atom
Energy relative to the lowest polymorph listed for this composition: 106 meV/atom
D(E_F): 1.66 states/eV/f.u.
SG: P3m1 (156)
DFT total energy: -93.6 eV per formula unit

Lattice parameters (Å, degrees): 2.5363 2.5363 13.9715 90.00 90.00 120.00
Last column: nearest neighbours and their distance in Å.
Atoms (fractional coordinates):
B: 0.0000 0.0000 0.0000  4 B 1.70-1.84
B: 0.0000 0.0000 0.1216  3 C 1.64, 1 B 1.70
B: 0.3333 0.6667 0.2842  1 C 1.53
B: 0.6667 0.3333 0.3607  1 C 1.58
B: 0.6667 0.3333 0.9201  1 C 1.58
C: 0.0000 0.0000 0.5113  4 C 1.55-1.56
C: 0.0000 0.0000 0.6220  4 C 1.55
C: 0.3333 0.6667 0.1748  4 B 1.53-1.64
C: 0.3333 0.6667 0.6590  4 C 1.55
C: 0.3333 0.6667 0.7696  4 C 1.55-1.56
C: 0.6667 0.3333 0.4738  3 C 1.56, 1 B 1.58
C: 0.6667 0.3333 0.8072  3 C 1.56, 1 B 1.58

=====

## CdOsBrCl (PBE)

Data for a relaxed structure of CdOsBrCl.

Calculated values
Energy relative to the lowest polymorph listed for this composition: 29 meV/atom
ΔE_f (raw): 0.167 eV/atom
SG: Cm (8)
DFT total energy: -15.0 eV per formula unit

Lattice parameters (Å, degrees): 3.5639 3.5639 8.4872 102.27 102.27 60.06
Last column: nearest neighbours and their distance in Å.
Atoms (fractional coordinates):
Cd: 0.0000 0.0000 0.0000  3 Cl 2.70, 3 Os 2.92
Os: 0.4188 0.4188 0.2524  3 Br 2.42
Br: 0.8044 0.8044 0.4068  3 Os 2.42
Cl: 0.5949 0.5949 0.7884  3 Cd 2.70

=====

## Sc8CuNi2 (PBE)

Data for a relaxed structure of Sc8CuNi2.

Calculated values
DFT formation energy: -0.12 eV per atom
D(E_F): 15.59 states/eV/f.u.
SG: Cm (8)
DFT total energy: -67.6 eV per formula unit

Lattice parameters (Å, degrees): 7.2572 7.2572 4.9781 98.62 98.62 114.83
Last column: nearest neighbours and their distance in Å.
Atoms (fractional coordinates):
Sc: 0.0000 0.0000 0.0000  1 Cu 2.82, 2 Ni 2.85, 3 Sc 3.06-3.11
Sc: 0.0447 0.2976 0.5970  2 Ni 2.61-2.68
Sc: 0.1424 0.6066 0.1872  2 Ni 2.65, 1 Cu 2.84
Sc: 0.2976 0.0447 0.5970  2 Ni 2.61-2.68
Sc: 0.4516 0.7043 0.7774  2 Ni 2.61-2.68
Sc: 0.6066 0.1424 0.1872  2 Ni 2.65, 1 Cu 2.84
Sc: 0.7043 0.4516 0.7774  2 Ni 2.61-2.68
Sc: 0.7499 0.7499 0.3748  1 Cu 2.82, 2 Ni 2.85, 3 Sc 3.06-3.12
Cu: 0.3753 0.3753 0.1870  4 Sc 2.82-2.84
Ni: 0.0682 0.6815 0.6875  8 Sc 2.61-2.85
Ni: 0.6815 0.0682 0.6875  8 Sc 2.61-2.85

=====

## CsAsH6C2Se2 (PBE)

Data for a relaxed structure of CsAsH6C2Se2.

Calculated values
D(E_F): 0.00 states/eV/f.u.
SG: C2/c (15)
DFT total energy: -54.8 eV per formula unit

Lattice parameters (Å, degrees): 7.2220 7.2220 9.8994 106.50 106.50 91.17
Last column: nearest neighbours and their distance in Å.
Atoms (fractional coordinates):
Cs: 0.1151 0.8849 0.7500  8 H 3.77-4.20, 6 Se 3.80-3.87
Cs: 0.8849 0.1151 0.2500  8 H 3.77-4.20, 6 Se 3.80-3.87
As: 0.3180 0.6820 0.2500  2 C 1.96
As: 0.6820 0.3180 0.7500  2 C 1.96
H: 0.1900 0.4297 0.9980  1 C 1.10
H: 0.2863 0.3176 0.1416  1 C 1.10
H: 0.3176 0.2863 0.6416  1 C 1.10
H: 0.4297 0.1900 0.4980  1 C 1.10
H: 0.4317 0.4484 0.5730  1 C 1.10
H: 0.4484 0.4317 0.0730  1 C 1.10
H: 0.5516 0.5683 0.9270  1 C 1.10
H: 0.5683 0.5516 0.4270  1 C 1.10
H: 0.5703 0.8099 0.5020  1 C 1.10
H: 0.6824 0.7137 0.3584  1 C 1.10
H: 0.7137 0.6824 0.8584  1 C 1.10
H: 0.8099 0.5703 0.0020  1 C 1.10
C: 0.3094 0.4367 0.0975  3 H 1.10
C: 0.4367 0.3094 0.5975  3 H 1.10
C: 0.5633 0.6906 0.4025  3 H 1.10
C: 0.6906 0.5633 0.9025  3 H 1.10
Se: 0.0615 0.6583 0.3420  1 As 2.31
Se: 0.3417 0.9385 0.1580  1 As 2.31
Se: 0.6583 0.0615 0.8420  1 As 2.31
Se: 0.9385 0.3417 0.6580  1 As 2.31

=====

## Sm3IrAu2 (PBE)

Data for a relaxed structure of Sm3IrAu2.

Calculated values
DFT formation energy: -0.71 eV per atom
Energy relative to the lowest polymorph listed for this composition: 52 meV/atom
D(E_F): 3.69 states/eV/f.u.
SG: C2/c (15)
DFT total energy: -33.8 eV per formula unit

Lattice parameters (Å, degrees): 7.4369 7.4369 8.2855 106.18 106.18 47.09
Last column: nearest neighbours and their distance in Å.
Atoms (fractional coordinates):
Sm: 0.0011 0.9989 0.7500  2 Ir 2.97, 4 Au 3.07
Sm: 0.3512 0.3534 0.9263  2 Ir 2.82, 4 Au 2.99-3.10
Sm: 0.3534 0.3512 0.4263  2 Ir 2.82, 4 Au 2.99-3.10
Sm: 0.6466 0.6488 0.5737  2 Ir 2.82, 4 Au 2.99-3.10
Sm: 0.6488 0.6466 0.0737  2 Ir 2.82, 4 Au 2.99-3.10
Sm: 0.9989 0.0011 0.2500  2 Ir 2.97, 4 Au 3.07
Ir: 0.4990 0.5010 0.2500  6 Sm 2.82-2.97
Ir: 0.5010 0.4990 0.7500  6 Sm 2.82-2.97
Au: 0.1734 0.1756 0.5870  6 Sm 2.99-3.10
Au: 0.1756 0.1734 0.0870  6 Sm 2.99-3.10
Au: 0.8244 0.8266 0.9130  6 Sm 2.99-3.10
Au: 0.8266 0.8244 0.4130  6 Sm 2.99-3.10

=====

## Li2Ir2Pt (PBE)

Data for a relaxed structure of Li2Ir2Pt.

Calculated values
DFT formation energy: 0.13 eV per atom
Energy relative to the lowest polymorph listed for this composition: 15 meV/atom
D(E_F): 3.81 states/eV/f.u.
SG: P4/mbm (127)
DFT total energy: -27.0 eV per formula unit

Lattice parameters (Å, degrees): 6.9637 6.9637 2.8095 90.00 90.00 90.00
Last column: nearest neighbours and their distance in Å.
Atoms (fractional coordinates):
Li: 0.1721 0.3279 0.0000  6 Ir 2.44-2.52
Li: 0.3279 0.8279 0.0000  6 Ir 2.44-2.52
Li: 0.6721 0.1721 0.0000  6 Ir 2.44-2.52
Li: 0.8279 0.6721 0.0000  6 Ir 2.44-2.52
Ir: 0.1255 0.6255 0.5000  6 Li 2.44-2.52, 1 Ir 2.47
Ir: 0.3745 0.1255 0.5000  6 Li 2.44-2.52, 1 Ir 2.47
Ir: 0.6255 0.8745 0.5000  6 Li 2.44-2.52, 1 Ir 2.47
Ir: 0.8745 0.3745 0.5000  6 Li 2.44-2.52, 1 Ir 2.47
Pt: 0.0000 0.0000 0.5000  4 Ir 2.75, 2 Pt 2.81, 8 Li 2.94
Pt: 0.5000 0.5000 0.5000  4 Ir 2.75, 2 Pt 2.81, 8 Li 2.94

=====

## PmTmGa (PBE)

Data for a relaxed structure of PmTmGa.

Calculated values
DFT formation energy: -0.36 eV per atom
Energy relative to the lowest polymorph listed for this composition: 50 meV/atom
D(E_F): 2.12 states/eV/f.u.
SG: I4mm (107)
DFT total energy: -13.3 eV per formula unit

Lattice parameters (Å, degrees): 7.0000 7.0000 7.0000 151.04 151.04 41.42
Last column: nearest neighbours and their distance in Å.
Atoms (fractional coordinates):
Pm: 0.0000 0.0000 0.0000  4 Ga 3.19, 4 Pm 3.50
Tm: 0.2900 0.2900 0.0000  4 Ga 3.06
Ga: 0.6532 0.6532 0.0000  4 Tm 3.06, 4 Pm 3.19

=====

## Ca2TcRh (PBE)

Data for a relaxed structure of Ca2TcRh.

Calculated values
DFT formation energy: 0.47 eV per atom
Energy relative to the lowest polymorph listed for this composition: 327 meV/atom
D(E_F): 5.38 states/eV/f.u.
SG: C2/m (12)
DFT total energy: -19.8 eV per formula unit

Lattice parameters (Å, degrees): 4.8709 4.8709 5.8136 96.83 96.83 35.62
Last column: nearest neighbours and their distance in Å.
Atoms (fractional coordinates):
Ca: 0.2456 0.2456 0.2453  3 Tc 2.87-3.02, 3 Rh 2.91-2.94, 2 Ca 2.98
Ca: 0.7544 0.7544 0.7547  3 Tc 2.87-3.02, 3 Rh 2.91-2.94, 2 Ca 2.98
Tc: 0.0000 0.0000 0.5000  6 Ca 2.87-3.02, 2 Tc 2.98
Rh: 0.5000 0.5000 0.0000  6 Ca 2.91-2.94, 2 Rh 2.98